VASP calculation (GGA+U) on a relaxed structure of Co2PbO.

Structure (CIF):
```
data_Co2PbO
_chemical_formula_sum 'Co8 Pb4 O4'
_symmetry_space_group_name_H-M 'F m -3 m'
_symmetry_Int_Tables_number 225
_symmetry_space_group_name_Hall '-F 4 2 3'
_cell_length_a 6.2436
_cell_length_b 6.2436
_cell_length_c 6.2436
_cell_angle_alpha 90.00
_cell_angle_beta 90.00
_cell_angle_gamma 90.00
loop_
_atom_site_label
_atom_site_type_symbol
_atom_site_fract_x
_atom_site_fract_y
_atom_site_fract_z
Co1 Co 0.2500 0.2500 0.2500
Pb1 Pb 0.0000 0.0000 0.0000
O1 O 0.0000 0.0000 0.5000
```

Properties
* final energy: -4.00 eV/atom